Record 1
Compound: Cs2SiAuBr6
Source: the Alexandria database
Functional: PBE
Structure: optimized geometry

Final energy (hartree per atom): -0.109
DOS(E_F) (states/eV per cell): 2.7
Magnetization (μB per atom): 0.000

Cell: 7.675 7.675 10.941 Å, 90.00 90.00 90.00°
Space group I4/mmm (No. 139)
Symmetry-distinct sites (fractional):
Cs: 0.000 0.500 0.250
Si: 0.000 0.000 0.000
Au: 0.000 0.000 0.500
Br: 0.000 0.000 0.236
Br: 0.238 0.238 0.000



Record 2
Compound: CsSiAuBr2
Source: the Alexandria database
Functional: PBE
Structure: optimized geometry

Final energy (hartree per atom): -0.098
DOS(E_F) (states/eV per cell): 1.9
Magnetization (μB per atom): 0.000

Cell: 5.172 5.172 10.340 Å, 90.00 90.00 90.00°
Space group P4/mmm (No. 123)
Symmetry-distinct sites (fractional):
Cs: 0.000 0.000 0.000
Si: 0.000 0.000 0.500
Au: 0.500 0.500 0.000
Br: 0.000 0.500 0.500